[1]
Entry from OQMD: crystalline PmCuSb2 at its relaxed geometry (GGA-PBE).

The structure in POSCAR format:
```
PmCuSb2
1.0
-4.026 0.025 1.670
0.903 -3.635 2.230
3.229 5.528 7.702
Sb Pm Cu
4 2 2
Direct
0.500 0.000 0.155
0.500 0.500 0.500
0.000 0.500 0.845
0.000 0.000 0.500
0.500 0.000 0.750
0.000 0.500 0.250
0.000 0.000 0.000
0.500 0.500 0.000
```

---

[2]
Entry from OQMD: crystalline PmCuSb at its relaxed geometry (GGA-PBE).

The structure in POSCAR format:
```
PmCuSb
1.0
0.000 3.282 3.282
3.282 0.000 3.282
3.282 3.282 0.000
Pm Sb Cu
1 1 1
Direct
0.250 0.250 0.250
0.750 0.750 0.750
0.000 0.000 0.000
```

Values from the calculation:
Energy above the lowest structure with this stoichiometry in kcal/mol of atoms: 0.00

---

[3]
Entry from OQMD: crystalline PmScCu at its relaxed geometry (GGA-PBE).

The structure in POSCAR format:
```
PmScCu
1.0
4.047 -1.470 1.978
-0.032 -1.864 4.356
0.797 -4.632 0.601
Cu Pm Sc
1 1 1
Direct
0.000 0.000 0.000
0.250 0.250 0.250
0.750 0.750 0.750
```

Values from the calculation:
Energy above the lowest structure with this stoichiometry in kcal/mol of atoms: 0.00

---

| no. | E (eV/atom) |
| --- | --- |
| 1 | -4.848 |
| 2 | -4.801 |
| 3 | -4.830 |